No. 1
CdH2SeO5: relaxed, GGA-PBEsol.

```
CdH2SeO5
1.0
-2.708 1.372 -7.008
5.182 -5.059 -2.993
-2.282 -7.353 -0.558
O H Se Cd
20 8 4 4
Direct
0.987 0.163 0.725 O
0.282 0.999 0.889 O
0.510 0.724 0.625 O
0.196 0.990 0.550 O
0.487 0.337 0.775 O
0.782 0.501 0.611 O
0.602 0.959 0.771 O
0.102 0.541 0.729 O
0.718 0.001 0.111 O
0.398 0.041 0.229 O
0.010 0.776 0.875 O
0.898 0.459 0.271 O
0.304 0.490 0.050 O
0.990 0.224 0.125 O
0.804 0.010 0.450 O
0.490 0.276 0.375 O
0.696 0.510 0.950 O
0.218 0.499 0.389 O
0.013 0.837 0.275 O
0.513 0.663 0.225 O
0.071 0.619 0.800 H
0.016 0.485 0.316 H
0.984 0.515 0.684 H
0.571 0.881 0.700 H
0.484 0.985 0.816 H
0.929 0.381 0.200 H
0.516 0.015 0.184 H
0.429 0.119 0.300 H
0.882 0.018 0.247 Se
0.618 0.518 0.747 Se
0.118 0.982 0.753 Se
0.382 0.482 0.253 Se
0.236 0.257 0.950 Cd
0.764 0.743 0.050 Cd
0.736 0.243 0.550 Cd
0.264 0.757 0.450 Cd
```

Summary:
final energy: -5.142 eV per atom
N(E_F): 0.000 states/eV/cell
space group: P2_1/c, No. 14

No. 2
CdH2SeO4: relaxed, GGA-PBEsol.

```
CdH2SeO4
1.0
-4.171 1.691 2.087
0.637 -3.894 4.429
7.054 8.943 6.850
O Cd Se H
16 4 4 8
Direct
0.412 0.250 0.107 O
0.175 0.031 0.842 O
0.675 0.531 0.658 O
0.325 0.031 0.342 O
0.175 0.469 0.842 O
0.825 0.969 0.158 O
0.798 0.250 0.363 O
0.588 0.750 0.893 O
0.298 0.750 0.137 O
0.702 0.250 0.863 O
0.088 0.250 0.607 O
0.202 0.750 0.637 O
0.825 0.531 0.158 O
0.325 0.469 0.342 O
0.675 0.969 0.658 O
0.912 0.750 0.393 O
0.578 0.750 0.275 Cd
0.422 0.250 0.725 Cd
0.078 0.250 0.225 Cd
0.922 0.750 0.775 Cd
0.483 0.250 0.408 Se
0.017 0.250 0.908 Se
0.517 0.750 0.592 Se
0.983 0.750 0.092 Se
0.535 0.383 0.116 H
0.465 0.617 0.884 H
0.965 0.383 0.616 H
0.965 0.117 0.616 H
0.535 0.117 0.116 H
0.035 0.883 0.384 H
0.035 0.617 0.384 H
0.465 0.883 0.884 H
```

Summary:
final energy: -5.086 eV per atom
N(E_F): 0.000 states/eV/cell
space group: Pnma, No. 62

No. 3
CdTc2HO: relaxed, GGA-PBEsol.

```
CdTc2HO
1.0
-1.001 -0.925 2.883
-1.704 -4.347 -1.986
4.506 -2.164 0.870
Cd Tc O H
1 2 1 1
Direct
0.000 0.000 0.000 Cd
0.000 0.000 0.500 Tc
0.000 0.500 0.000 Tc
0.500 0.500 0.500 O
0.500 0.000 0.000 H
```

Summary:
final energy: -4.319 eV per atom
N(E_F): 3.665 states/eV/cell
space group: P4/mmm, No. 123

No. 4
CdP2H2: relaxed, GGA-PBEsol.

```
CdP2H2
1.0
-2.175 -1.834 3.264
-0.364 -5.667 2.378
3.396 -1.871 4.037
H Cd P
2 1 2
Direct
0.644 0.907 0.211 H
0.480 0.264 0.663 H
0.562 0.562 0.937 Cd
0.154 0.595 0.665 P
0.970 0.914 0.209 P
```

Summary:
final energy: -3.886 eV per atom
N(E_F): 0.000 states/eV/cell
space group: C2, No. 5

No. 5
CdH2Pb: relaxed, GGA-PBEsol.

```
CdH2Pb
1.0
-4.002 0.598 -1.634
-3.442 -1.876 1.917
-2.896 2.447 2.161
H Pb Cd
2 1 1
Direct
0.250 0.250 0.250 H
0.750 0.750 0.750 H
0.500 0.500 0.500 Pb
0.000 0.000 0.000 Cd
```

Summary:
final energy: -2.354 eV per atom
N(E_F): 1.030 states/eV/cell
space group: Fm-3m, No. 225

No. 6
CdHPbSe2: relaxed, GGA-PBEsol.

```
CdHPbSe2
1.0
3.656 0.000 0.000
0.000 5.365 0.000
0.000 0.000 5.365
Se H Pb Cd
2 1 1 1
Direct
0.000 0.500 0.000 Se
0.000 0.000 0.500 Se
0.500 0.000 0.000 H
0.500 0.500 0.500 Pb
0.000 0.000 0.000 Cd
```

Summary:
final energy: -3.286 eV per atom
N(E_F): 2.461 states/eV/cell
space group: P4/mmm, No. 123

No. 7
CdH2PbSe: relaxed, GGA-PBEsol.

```
CdH2PbSe
1.0
-2.841 2.823 0.173
-0.612 -0.374 -3.944
-4.176 -4.268 1.053
Pb Se Cd H
1 1 1 2
Direct
0.000 0.000 0.500 Pb
0.000 0.000 0.000 Se
0.500 0.500 0.500 Cd
0.000 0.500 0.000 H
0.500 0.000 0.000 H
```

Summary:
final energy: -2.756 eV per atom
N(E_F): 1.862 states/eV/cell
space group: P4/mmm, No. 123

No. 8
CdHPt3: relaxed, GGA-PBEsol.

```
CdHPt3
1.0
-0.164 4.009 -0.512
-3.884 -0.028 1.128
1.127 0.525 3.849
H Pt Cd
1 3 1
Direct
0.039 0.039 0.039 H
0.600 0.111 0.111 Pt
0.111 0.111 0.600 Pt
0.111 0.600 0.111 Pt
0.610 0.610 0.610 Cd
```

Summary:
E above lowest polymorph: 0 meV per atom
final energy: -5.213 eV per atom
N(E_F): 4.065 states/eV/cell
space group: R3m, No. 160

No. 9
CdHPt3: relaxed, GGA-PBEsol.

```
CdHPt3
1.0
4.036 0.000 0.000
0.000 4.036 0.000
0.000 0.000 4.036
Pt Cd H
3 1 1
Direct
0.000 0.000 0.500 Pt
0.500 0.000 0.000 Pt
0.000 0.500 0.000 Pt
0.500 0.500 0.500 Cd
0.000 0.000 0.000 H
```

Summary:
E above lowest polymorph: 6 meV per atom
final energy: -5.207 eV per atom
N(E_F): 4.126 states/eV/cell
space group: Pm-3m, No. 221

No. 10
TiCdH2Pt: relaxed, GGA-PBEsol.

```
TiCdH2Pt
1.0
-0.615 -3.252 -1.290
0.429 -1.370 3.249
-5.870 0.688 1.066
H Ti Cd Pt
2 1 1 1
Direct
0.000 0.500 0.000 H
0.500 0.000 0.000 H
0.000 0.000 0.500 Ti
0.000 0.000 0.000 Cd
0.500 0.500 0.500 Pt
```

Summary:
final energy: -4.123 eV per atom
N(E_F): 3.250 states/eV/cell
space group: P4/mmm, No. 123

No. 11
RbCd3H: relaxed, GGA-PBEsol.

```
RbCd3H
1.0
4.965 0.000 0.000
0.000 4.965 0.000
0.000 0.000 4.965
Cd Rb H
3 1 1
Direct
0.500 0.000 0.000 Cd
0.000 0.500 0.000 Cd
0.000 0.000 0.500 Cd
0.500 0.500 0.500 Rb
0.000 0.000 0.000 H
```

Summary:
final energy: -1.209 eV per atom
N(E_F): 2.318 states/eV/cell
space group: Pm-3m, No. 221

No. 12
Rb3CdH: relaxed, GGA-PBEsol.

```
Rb3CdH
1.0
-2.517 5.177 -0.591
-3.827 -1.391 4.111
3.536 2.180 4.029
Rb Cd H
3 1 1
Direct
0.500 0.000 0.000 Rb
0.000 0.000 0.500 Rb
0.000 0.500 0.000 Rb
0.500 0.500 0.500 Cd
0.000 0.000 0.000 H
```

Summary:
final energy: -1.485 eV per atom
N(E_F): 3.894 states/eV/cell
space group: Pm-3m, No. 221

No. 13
CdH3Rh: relaxed, GGA-PBEsol.

```
CdH3Rh
1.0
-1.675 1.895 -4.176
-3.534 -0.213 3.362
3.742 3.390 1.871
Rh Cd H
2 2 6
Direct
0.182 0.818 0.000 Rh
0.818 0.182 0.000 Rh
0.250 0.750 0.500 Cd
0.750 0.250 0.500 Cd
0.459 0.181 0.000 H
0.541 0.819 0.000 H
0.819 0.541 0.000 H
0.181 0.459 0.000 H
0.892 0.892 0.785 H
0.108 0.108 0.215 H
```

Summary:
final energy: -3.924 eV per atom
N(E_F): 0.663 states/eV/cell
space group: Fmmm, No. 69

No. 14
CdH2Ru2: relaxed, GGA-PBEsol.

```
CdH2Ru2
1.0
3.481 0.000 0.000
0.000 3.481 0.000
-1.740 -1.740 4.191
Ru Cd H
2 1 2
Direct
0.667 0.667 0.334 Ru
0.333 0.333 0.666 Ru
0.000 0.000 0.000 Cd
0.750 0.250 0.500 H
0.250 0.750 0.500 H
```

Summary:
final energy: -5.380 eV per atom
N(E_F): 2.437 states/eV/cell
space group: I4/mmm, No. 139

No. 15
CdHS3: relaxed, GGA-PBEsol.

```
CdHS3
1.0
-3.670 -3.383 -0.758
1.221 -2.294 4.328
-3.245 2.963 2.486
Cd S H
1 3 1
Direct
0.000 0.000 0.000 Cd
0.000 0.500 0.000 S
0.500 0.000 0.000 S
0.000 0.000 0.500 S
0.500 0.500 0.500 H
```

Summary:
final energy: -2.244 eV per atom
N(E_F): 5.040 states/eV/cell
space group: Pm-3m, No. 221

No. 16
Cd3HS: relaxed, GGA-PBEsol.

```
Cd3HS
1.0
4.440 0.000 0.000
0.000 4.440 0.000
0.000 0.000 4.440
Cd S H
3 1 1
Direct
0.000 0.500 0.000 Cd
0.000 0.000 0.500 Cd
0.500 0.000 0.000 Cd
0.500 0.500 0.500 S
0.000 0.000 0.000 H
```

Summary:
final energy: -1.964 eV per atom
N(E_F): 1.644 states/eV/cell
space group: Pm-3m, No. 221

No. 17
CdSb2TeH: relaxed, GGA-PBEsol.

```
CdSb2TeH
1.0
-4.915 -2.086 1.163
1.641 -1.017 5.112
-1.786 5.091 1.586
Te Sb H Cd
1 2 1 1
Direct
0.000 0.000 0.500 Te
0.500 0.000 0.000 Sb
0.000 0.500 0.000 Sb
0.500 0.500 0.500 H
0.000 0.000 0.000 Cd
```

Summary:
final energy: -2.282 eV per atom
N(E_F): 3.259 states/eV/cell
space group: P4/mmm, No. 123

No. 18
Sc2CdH2: relaxed, GGA-PBEsol.

```
Sc2CdH2
1.0
3.455 0.000 0.000
0.000 3.455 0.000
-1.728 -1.728 5.634
Sc H Cd
2 2 1
Direct
0.657 0.657 0.314 Sc
0.343 0.343 0.686 Sc
0.250 0.750 0.500 H
0.750 0.250 0.500 H
0.000 0.000 0.000 Cd
```

Summary:
final energy: -4.806 eV per atom
N(E_F): 1.290 states/eV/cell
space group: I4/mmm, No. 139

No. 19
Sc2CdH: relaxed, GGA-PBEsol.

```
Sc2CdH
1.0
-1.650 -2.596 1.199
1.631 -2.432 1.524
-0.933 2.299 8.240
Sc H Cd
2 1 1
Direct
0.073 0.073 0.781 Sc
0.927 0.927 0.219 Sc
0.000 0.000 0.000 H
0.500 0.500 0.500 Cd
```

Summary:
final energy: -4.340 eV per atom
N(E_F): 3.983 states/eV/cell
space group: R-3m, No. 166

No. 20
Cd3HSe: relaxed, GGA-PBEsol.

```
Cd3HSe
1.0
4.506 0.000 0.000
0.000 4.506 0.000
0.000 0.000 4.506
Cd Se H
3 1 1
Direct
0.000 0.000 0.500 Cd
0.000 0.500 0.000 Cd
0.500 0.000 0.000 Cd
0.500 0.500 0.500 Se
0.000 0.000 0.000 H
```

Summary:
final energy: -1.920 eV per atom
N(E_F): 1.774 states/eV/cell
space group: Pm-3m, No. 221

No. 21
Cd2HSe: relaxed, GGA-PBEsol.

```
Cd2HSe
1.0
-2.393 -0.707 -3.929
-3.997 -2.382 0.106
-4.041 2.204 -0.692
Cd H Se
2 1 1
Direct
0.750 0.750 0.750 Cd
0.250 0.250 0.250 Cd
0.000 0.000 0.000 H
0.500 0.500 0.500 Se
```

Summary:
final energy: -2.109 eV per atom
N(E_F): 1.468 states/eV/cell
space group: Fm-3m, No. 225

No. 22
Cd2SiH2: relaxed, GGA-PBEsol.

```
Cd2SiH2
1.0
-3.001 -3.664 1.112
4.234 -3.227 0.796
0.137 1.459 5.180
H Cd Si
4 4 2
Direct
0.000 0.775 0.275 H
0.000 0.225 0.725 H
0.000 0.275 0.225 H
0.000 0.725 0.775 H
0.500 0.817 0.317 Cd
0.500 0.317 0.183 Cd
0.500 0.183 0.683 Cd
0.500 0.683 0.817 Cd
0.000 0.500 0.500 Si
0.000 0.000 0.000 Si
```

Summary:
E above lowest polymorph: 159 meV per atom
final energy: -2.558 eV per atom
N(E_F): 2.155 states/eV/cell
space group: P4/mbm, No. 127

No. 23
Cd2SiH2: relaxed, GGA-PBEsol.

```
Cd2SiH2
1.0
4.577 0.010 0.015
-2.238 3.993 -0.015
-2.238 -1.378 3.748
H Cd Si
2 2 1
Direct
0.000 0.439 0.439 H
0.000 0.561 0.561 H
0.500 0.250 0.750 Cd
0.500 0.750 0.250 Cd
0.000 0.000 0.000 Si
```

Summary:
E above lowest polymorph: 0 meV per atom
final energy: -2.717 eV per atom
N(E_F): 0.614 states/eV/cell
space group: I4/mmm, No. 139

No. 24
ZnCdSiH2: relaxed, GGA-PBEsol.

```
ZnCdSiH2
1.0
-1.988 -2.968 -0.791
-0.064 -0.902 3.545
-4.201 2.655 0.599
H Cd Si Zn
2 1 1 1
Direct
0.500 0.000 0.000 H
0.000 0.500 0.000 H
0.500 0.500 0.500 Cd
0.000 0.000 0.000 Si
0.000 0.000 0.500 Zn
```

Summary:
final energy: -2.671 eV per atom
N(E_F): 1.522 states/eV/cell
space group: P4/mmm, No. 123

No. 25
Sr2CdH2: relaxed, GGA-PBEsol.

```
Sr2CdH2
1.0
-3.528 -0.384 1.982
-1.464 -2.259 -3.046
4.799 -4.242 3.552
Cd Sr H
1 2 2
Direct
0.000 0.000 0.000 Cd
0.349 0.349 0.698 Sr
0.651 0.651 0.302 Sr
0.250 0.750 0.500 H
0.750 0.250 0.500 H
```

Summary:
final energy: -2.708 eV per atom
N(E_F): 2.307 states/eV/cell
space group: I4/mmm, No. 139